The following is a GGA+U calculation of Rb2Fe3F10 after structural relaxation, from Alexandria via LeMat-Bulk.

## Properties
The space group is No. 12. The calculation puts the total energy at -152.79 eV/cell.

```
30
Lattice="9.5980 -3.1885 0.0000 9.5980 3.1885 0.0000 -3.2048 0.0000 7.4386" Properties=species:S:1:pos:R:3 pbc="T T T"
Rb 1.4123 0.0000 1.5985
Rb 1.4008 0.0000 6.1397
Rb 14.5904 0.0000 1.2990
Rb 14.5788 0.0000 5.8401
Fe 7.9956 1.6212 3.7193
Fe 4.5561 0.0000 3.6243
Fe 8.0030 0.0000 0.2585
Fe 7.9882 0.0000 7.1801
Fe 11.4350 0.0000 3.8143
Fe 7.9956 -1.6212 3.7193
F 3.1966 1.5943 3.7193
F -1.8337 0.0000 5.0366
F 6.8027 1.4208 0.2145
F 5.9211 1.4120 3.5919
F 4.3132 0.0000 1.7836
F 9.5980 1.2350 0.0000
F 4.5867 0.0000 5.5931
F 10.0700 1.4120 3.8467
F 9.1885 1.4208 7.2241
F 8.1626 0.0000 2.2446
F 3.1966 -1.5943 3.7193
F 7.8285 0.0000 5.1941
F 6.8027 -1.4208 0.2145
F 5.9211 -1.4120 3.5919
F 11.4045 0.0000 1.8455
F 9.5980 -1.2350 0.0000
F 11.6780 0.0000 5.6551
F 10.0700 -1.4120 3.8467
F 9.1885 -1.4208 7.2241
F 17.8248 0.0000 2.4021
```

---

The following is a GGA+U calculation of RbFe2F2 after structural relaxation, from Alexandria via LeMat-Bulk.

## Properties
The calculation puts the energy relative to the lowest polymorph listed for this composition at 0.089 eV/atom. The space group is No. 127.

```
10
Lattice="8.3037 0.0000 0.0000 0.0000 8.3037 0.0000 0.0000 0.0000 3.6160" Properties=species:S:1:pos:R:3 pbc="T T T"
Rb 0.0000 0.0000 0.0000
Rb 4.1519 4.1519 0.0000
Fe 0.9056 3.2463 1.8080
Fe 3.2463 7.3982 1.8080
Fe 5.0574 0.9056 1.8080
Fe 7.3982 5.0574 1.8080
F 1.6353 2.5166 0.0000
F 2.5166 6.6685 0.0000
F 5.7871 1.6353 0.0000
F 6.6685 5.7871 0.0000
```

---

The following is a GGA+U calculation of RbFe2F6 after structural relaxation, from Alexandria via LeMat-Bulk.

## Properties
The calculation puts the energy relative to the lowest polymorph listed for this composition at 0.049 eV/atom. The space group is No. 162.

```
9
Lattice="5.4957 0.0000 0.0000 -2.7478 4.7594 0.0000 0.0000 0.0000 6.0190" Properties=species:S:1:pos:R:3 pbc="T T T"
Rb 0.0000 0.0000 0.0000
Fe 0.0000 3.1729 3.0095
Fe 2.7478 1.5865 3.0095
F -1.0467 1.8129 4.0957
F -1.7011 2.9465 1.9233
F 2.0934 0.0000 4.0957
F 1.0467 1.8129 1.9233
F 3.4023 0.0000 1.9233
F 1.7011 2.9465 4.0957
```

---

The following is a GGA+U calculation of RbFe3F after structural relaxation, from Alexandria via LeMat-Bulk.

## Properties
The calculation puts the energy relative to the lowest polymorph listed for this composition at 0.786 eV/atom. The space group is No. 221.

```
5
Lattice="5.7105 0.0000 0.0000 0.0000 5.7105 0.0000 0.0000 0.0000 5.7105" Properties=species:S:1:pos:R:3 pbc="T T T"
Rb 0.0000 0.0000 0.0000
Fe 0.0000 0.0000 2.8552
Fe 0.0000 2.8552 0.0000
Fe 2.8552 0.0000 0.0000
F 2.8552 2.8552 2.8552
```

---

The following is a GGA+U calculation of Rb3FeF after structural relaxation, from Alexandria via LeMat-Bulk.

## Properties
The calculation puts the energy relative to the lowest polymorph listed for this composition at 0.000 eV/atom. The space group is No. 221.

```
5
Lattice="5.7805 0.0000 0.0000 0.0000 5.7805 0.0000 0.0000 0.0000 5.7805" Properties=species:S:1:pos:R:3 pbc="T T T"
Rb 0.0000 0.0000 2.8903
Rb 0.0000 2.8903 0.0000
Rb 2.8903 0.0000 0.0000
Fe 2.8903 2.8903 2.8903
F 0.0000 0.0000 0.0000
```

---

The following is a GGA+U calculation of RbFeF2 after structural relaxation, from Alexandria via LeMat-Bulk.

## Properties
The calculation puts the energy relative to the lowest polymorph listed for this composition at 0.061 eV/atom. The space group is No. 166.

```
4
Lattice="1.9064 1.1006 7.0890 -1.9064 1.1006 7.0890 0.0000 -2.2013 7.0890" Properties=species:S:1:pos:R:3 pbc="T T T"
Rb 0.0000 0.0000 0.0000
Fe 0.0000 0.0000 10.6335
F 0.0000 0.0000 8.7270
F 0.0000 0.0000 12.5401
```

---

The following is a GGA+U calculation of RbFe3F after structural relaxation, from Alexandria via LeMat-Bulk.

## Properties
The calculation puts the energy relative to the lowest polymorph listed for this composition at 0.000 eV/atom. The space group is No. 221.

```
5
Lattice="4.6681 0.0000 0.0000 0.0000 4.6681 0.0000 0.0000 0.0000 4.6681" Properties=species:S:1:pos:R:3 pbc="T T T"
Rb 0.0000 0.0000 0.0000
Fe 0.0000 2.3341 2.3341
Fe 2.3341 0.0000 2.3341
Fe 2.3341 2.3341 0.0000
F 2.3341 2.3341 2.3341
```

---

The following is a GGA+U calculation of RbFeF2 after structural relaxation, from Alexandria via LeMat-Bulk.

## Properties
The calculation puts the energy relative to the lowest polymorph listed for this composition at 0.000 eV/atom. The space group is No. 122.

```
8
Lattice="-2.7955 2.7955 5.8714 2.7955 -2.7955 5.8714 2.7955 2.7955 -5.8714" Properties=species:S:1:pos:R:3 pbc="T T T"
Rb 0.0000 0.0000 0.0000
Rb 0.0000 2.7955 2.9357
Fe 2.7955 0.0000 2.9357
Fe 0.0000 0.0000 5.8714
F 1.3977 -0.6865 4.4036
F 2.1090 1.3977 1.4679
F 1.3977 3.4820 -1.4679
F 0.6865 1.3977 7.3393
```

---

The following is a GGA+U calculation of Rb3Fe2F9 after structural relaxation, from Alexandria via LeMat-Bulk.

## Properties
The space group is No. 167. The calculation puts the total energy at -136.95 eV/cell.

```
28
Lattice="5.3320 3.0785 4.8889 -5.3320 3.0785 4.8889 0.0000 -6.1569 4.8889" Properties=species:S:1:pos:R:3 pbc="T T T"
Rb -3.5095 0.0783 6.1111
Rb -1.8225 -3.0002 8.5556
Rb 1.6869 -3.0785 6.1111
Rb -1.6869 3.0785 8.5556
Rb 1.8225 3.0002 6.1111
Rb 3.5095 -0.0783 8.5556
Fe 0.0000 0.0000 2.2103
Fe 0.0000 0.0000 5.1230
Fe 0.0000 0.0000 9.5437
Fe 0.0000 0.0000 12.4563
F -4.5114 -1.6014 8.4097
F -0.8688 -4.7077 6.2570
F -1.4791 0.0000 3.6667
F -0.8688 -1.4492 5.9652
F 0.7395 -1.2809 3.6667
F -3.6426 3.1063 6.2570
F 0.7395 1.2809 3.6667
F -0.8206 1.4770 5.9652
F -1.6894 0.0278 8.7014
F 1.6894 -0.0278 5.9652
F 0.8206 -1.4770 8.7014
F -0.7395 -1.2809 11.0000
F 3.6426 -3.1063 8.4097
F -0.7395 1.2809 11.0000
F 0.8688 1.4492 8.7015
F 1.4791 0.0000 11.0000
F 0.8688 4.7077 8.4097
F 4.5114 1.6014 6.2570
```

---

The following is a GGA+U calculation of RbFeF3 after structural relaxation, from Alexandria via LeMat-Bulk.

## Properties
The space group is No. 221. The calculation puts the total energy at -23.97 eV/cell.

```
5
Lattice="4.2164 0.0000 0.0000 0.0000 4.2164 0.0000 0.0000 0.0000 4.2164" Properties=species:S:1:pos:R:3 pbc="T T T"
Rb 0.0000 0.0000 0.0000
Fe 2.1082 2.1082 2.1082
F 0.0000 2.1082 2.1082
F 2.1082 0.0000 2.1082
F 2.1082 2.1082 0.0000
```

---

The following is a GGA+U calculation of RbFe2F7 after structural relaxation, from Alexandria via LeMat-Bulk.

## Properties
The space group is No. 65. The calculation puts the total energy at -50.42 eV/cell.

```
10
Lattice="3.1787 -5.4126 0.0000 3.1787 5.4126 0.0000 0.0000 0.0000 3.9671" Properties=species:S:1:pos:R:3 pbc="T T T"
Rb 0.0000 0.0000 0.0000
Fe 3.1787 2.0527 1.9835
Fe 3.1787 -2.0527 1.9835
F 1.2156 1.6125 1.9835
F 3.1787 2.1204 0.0000
F 1.2156 -1.6125 1.9835
F 3.1787 0.0000 1.9835
F 5.1419 1.6125 1.9835
F 3.1787 -2.1204 0.0000
F 5.1419 -1.6125 1.9835
```

---

The following is a GGA+U calculation of Rb2FeF4 after structural relaxation, from Alexandria via LeMat-Bulk.

## Properties
The space group is No. 139. The calculation puts the total energy at -33.68 eV/cell.

```
7
Lattice="-2.1508 2.1508 6.8705 2.1508 -2.1508 6.8705 2.1508 2.1508 -6.8705" Properties=species:S:1:pos:R:3 pbc="T T T"
Rb 0.0000 0.0000 1.9818
Rb 0.0000 0.0000 11.7592
Fe 0.0000 0.0000 6.8705
F 2.1508 0.0000 0.0000
F 0.0000 0.0000 4.8231
F 0.0000 2.1508 0.0000
F 0.0000 0.0000 8.9179
```

---

The following is a GGA+U calculation of Rb2FeReF6 after structural relaxation, from Alexandria via LeMat-Bulk.

## Properties
The space group is No. 139. The calculation puts the total energy at -50.45 eV/cell.

```
10
Lattice="-3.0398 3.0398 4.3374 3.0398 -3.0398 4.3374 3.0398 3.0398 -4.3374" Properties=species:S:1:pos:R:3 pbc="T T T"
Rb 3.0398 0.0000 2.1687
Rb 0.0000 3.0398 2.1687
Fe 0.0000 0.0000 0.0000
Re 0.0000 0.0000 4.3374
F 1.5403 1.5403 0.0000
F 1.4995 -1.4995 4.3374
F 0.0000 0.0000 2.2920
F 0.0000 0.0000 6.3829
F -1.4995 1.4995 4.3374
F 1.4995 1.4995 4.3374
```

---

The following is a GGA+U calculation of RbFeRhF2 after structural relaxation, from Alexandria via LeMat-Bulk.

## Properties
The space group is No. 123. The calculation puts the total energy at -17.04 eV/cell.

```
5
Lattice="4.8435 0.0000 0.0000 0.0000 4.8435 0.0000 0.0000 0.0000 5.1645" Properties=species:S:1:pos:R:3 pbc="T T T"
Rb 0.0000 0.0000 0.0000
Fe 2.4218 2.4218 2.5822
Rh 0.0000 0.0000 2.5822
F 0.0000 2.4218 0.0000
F 2.4218 0.0000 0.0000
```

---

The following is a GGA+U calculation of RbFe2RuF after structural relaxation, from Alexandria via LeMat-Bulk.

## Properties
The space group is No. 123. The calculation puts the total energy at -18.43 eV/cell.

```
5
Lattice="4.6111 0.0000 0.0000 0.0000 4.6111 0.0000 0.0000 0.0000 4.7487" Properties=species:S:1:pos:R:3 pbc="T T T"
Rb 0.0000 0.0000 0.0000
Fe 0.0000 2.3055 2.3743
Fe 2.3055 0.0000 2.3743
Ru 2.3055 2.3055 0.0000
F 2.3055 2.3055 2.3743
```

---

The following is a GGA+U calculation of Rb2FeSbF6 after structural relaxation, from Alexandria via LeMat-Bulk.

## Properties
The space group is No. 139. The calculation puts the total energy at -46.53 eV/cell.

```
10
Lattice="-3.0786 3.0786 5.1479 3.0786 -3.0786 5.1479 3.0786 3.0786 -5.1479" Properties=species:S:1:pos:R:3 pbc="T T T"
Rb 3.0786 0.0000 2.5740
Rb 0.0000 3.0786 2.5740
Fe 0.0000 0.0000 0.0000
Sb 0.0000 0.0000 5.1479
F 0.0000 0.0000 1.9869
F 1.5293 1.5293 0.0000
F 1.5493 -1.5493 5.1479
F -1.5493 1.5493 5.1479
F 1.5493 1.5493 5.1479
F 0.0000 0.0000 8.3090
```

---

The following is a GGA+U calculation of RbFeSbF6 after structural relaxation, from Alexandria via LeMat-Bulk.

## Properties
The space group is No. 1. The calculation puts the total energy at -44.38 eV/cell.

```
9
Lattice="5.5586 0.0000 0.0000 0.0510 5.8000 0.0000 0.0231 2.8499 5.2127" Properties=species:S:1:pos:R:3 pbc="T T T"
Rb 0.0000 0.0000 0.0000
Fe 3.0601 2.8686 1.7096
Sb 2.8120 5.7511 3.4601
F 1.9940 1.9099 0.3435
F 2.0092 2.0505 3.3460
F 2.1361 4.7435 1.5506
F 4.1435 4.0790 3.0498
F 4.1664 6.7919 2.2838
F 4.1817 6.1815 5.0166
```

---

The following is a GGA+U calculation of RbScFeF6 after structural relaxation, from Alexandria via LeMat-Bulk.

## Properties
The space group is No. 1. The calculation puts the total energy at -53.24 eV/cell.

```
9
Lattice="5.6157 0.0000 0.0000 2.7752 4.8828 0.0000 0.0324 -0.0015 5.9835" Properties=species:S:1:pos:R:3 pbc="T T T"
Rb 0.0000 0.0000 0.0000
Sc 5.6089 3.2620 2.9902
Fe 2.8049 1.6158 2.9923
F 3.9486 3.0250 4.1368
F 4.9548 4.8085 1.8454
F 4.5563 1.8599 1.9059
F 6.2701 4.8287 4.1118
F 7.2870 3.0148 1.8572
F 6.6893 1.8875 4.0904
```

---

The following is a GGA+U calculation of RbFeSnF6 after structural relaxation, from Alexandria via LeMat-Bulk.

## Properties
The space group is No. 1. The calculation puts the total energy at -44.01 eV/cell.

```
9
Lattice="5.7870 0.0000 0.0000 2.8767 5.0461 0.0000 0.0296 -0.0055 5.9792" Properties=species:S:1:pos:R:3 pbc="T T T"
Rb 0.0000 0.0000 0.0000
Fe 5.7941 3.3823 2.9905
Sn 2.9027 1.6725 2.9901
F 5.0905 5.0300 1.8244
F 4.0764 3.1735 4.1154
F 6.4702 5.0365 4.1630
F 4.7068 1.9280 1.8230
F 7.5052 3.1666 1.8621
F 6.8846 1.9333 4.1584
```

---

The following is a GGA+U calculation of Rb2FeSnF6 after structural relaxation, from Alexandria via LeMat-Bulk.

## Properties
The space group is No. 139. The calculation puts the total energy at -47.02 eV/cell.

```
10
Lattice="-3.1640 3.1640 4.5050 3.1640 -3.1640 4.5050 3.1640 3.1640 -4.5050" Properties=species:S:1:pos:R:3 pbc="T T T"
Rb 3.1640 0.0000 2.2525
Rb 0.0000 3.1640 2.2525
Fe 0.0000 0.0000 0.0000
Sn 0.0000 0.0000 4.5050
F 1.4783 1.4783 0.0000
F 1.6857 -1.6857 4.5050
F 0.0000 0.0000 2.1315
F 0.0000 0.0000 6.8786
F -1.6857 1.6857 4.5050
F 1.6857 1.6857 4.5050
```

---

The following is a GGA+U calculation of Rb2SrFeF6 after structural relaxation, from Alexandria via LeMat-Bulk.

## Properties
The space group is No. 139. The calculation puts the total energy at -49.49 eV/cell.

```
10
Lattice="-3.1685 3.1685 4.5184 3.1685 -3.1685 4.5184 3.1685 3.1685 -4.5184" Properties=species:S:1:pos:R:3 pbc="T T T"
Rb 3.1685 0.0000 2.2592
Rb 0.0000 3.1685 2.2592
Sr 0.0000 0.0000 0.0000
Fe 0.0000 0.0000 4.5184
F 0.0000 0.0000 2.3871
F 1.6903 1.6903 0.0000
F 1.4781 -1.4781 4.5184
F -1.4781 1.4781 4.5184
F 1.4781 1.4781 4.5184
F 0.0000 0.0000 6.6496
```

---

The following is a GGA+U calculation of Rb2TaFeF6 after structural relaxation, from Alexandria via LeMat-Bulk.

## Properties
The space group is No. 139. The calculation puts the total energy at -53.35 eV/cell.

```
10
Lattice="-3.0792 3.0792 4.4666 3.0792 -3.0792 4.4666 3.0792 3.0792 -4.4666" Properties=species:S:1:pos:R:3 pbc="T T T"
Rb 3.0792 0.0000 2.2333
Rb 0.0000 3.0792 2.2333
Ta 0.0000 0.0000 0.0000
Fe 0.0000 0.0000 4.4666
F 0.0000 0.0000 2.0622
F 1.4999 1.4999 0.0000
F 1.5793 -1.5793 4.4666
F -1.5793 1.5793 4.4666
F 1.5793 1.5793 4.4666
F 0.0000 0.0000 6.8711
```

---

The following is a GGA+U calculation of Rb2FeTcF6 after structural relaxation, from Alexandria via LeMat-Bulk.

## Properties
The space group is No. 225. The calculation puts the total energy at -49.63 eV/cell.

```
10
Lattice="0.0000 4.2458 4.2458 4.2458 0.0000 4.2458 4.2458 4.2458 0.0000" Properties=species:S:1:pos:R:3 pbc="T T T"
Rb 2.1229 2.1229 2.1229
Rb 6.3688 6.3688 6.3688
Fe 0.0000 0.0000 0.0000
Tc 4.2458 4.2458 4.2458
F 4.2458 4.2458 2.0875
F 4.2458 2.0875 4.2458
F 6.4042 4.2458 4.2458
F 2.0875 4.2458 4.2458
F 4.2458 6.4042 4.2458
F 4.2458 4.2458 6.4042
```